Material: Ag2SbTe3
Method: DFT, PBE
State: optimized geometry

Cell lengths 7.390, 7.390, 8.579 Å; angles 106.92, 106.92, 47.57 degrees
Sites, in units of the cell vectors:
Ag  0.160  0.162  0.080
Ag  0.162  0.160  0.580
Ag  0.838  0.840  0.420
Ag  0.840  0.838  0.920
Sb  0.499  0.501  0.750
Sb  0.501  0.499  0.250
Te  0.001  0.999  0.250
Te  0.327  0.329  0.414
Te  0.329  0.327  0.914
Te  0.671  0.673  0.086
Te  0.673  0.671  0.586
Te  0.999  0.001  0.750

Values from the calculation:
Offset from the most stable computed form, meV per atom: 0.0
Raw formation energy, eV/atom: -0.055
Symmetry: C2/c, No. 15
Fermi-level density of states, states/eV per atom: 0.463

---

Material: Zr2ZnAs
Method: DFT, PBE
State: optimized geometry

Cell lengths 5.564, 5.564, 5.564 Å; angles 138.07, 137.93, 60.90 degrees
Sites, in units of the cell vectors:
Zr  0.000  0.000  0.000
Zr  0.750  0.250  0.500
Zn  0.500  0.500  0.000
As  0.250  0.750  0.500

Values from the calculation:
Formation energy, eV per formula unit: -1.9
Symmetry: Imm2, No. 44
Fermi-level density of states, states/eV per atom: 0.679

---

Material: Li3Np3MnSe8
Method: DFT, PBE
State: optimized geometry

Cell lengths 7.954, 7.954, 7.954 Å; angles 60.58, 60.58, 60.58 degrees
Sites, in units of the cell vectors:
Li  0.000  0.500  0.500
Li  0.500  0.000  0.500
Li  0.500  0.500  0.000
Np  0.000  0.000  0.500
Np  0.000  0.500  0.000
Np  0.500  0.000  0.000
Mn  0.500  0.500  0.500
Se  0.253  0.253  0.253
Se  0.258  0.258  0.741
Se  0.258  0.741  0.258
Se  0.259  0.742  0.742
Se  0.741  0.258  0.258
Se  0.742  0.259  0.742
Se  0.742  0.742  0.259
Se  0.747  0.747  0.747

Values from the calculation:
Raw formation energy, eV/atom: -1.042
Symmetry: R-3m, No. 166
Fermi-level density of states, states/eV per atom: 2.107

---

Material: InCo4Ag
Method: DFT, PBE
State: optimized geometry

Cell lengths 4.881, 4.881, 4.881 Å; angles 60.00, 60.00, 60.00 degrees
Sites, in units of the cell vectors:
In  0.000  0.000  0.000
Co  0.125  0.625  0.625
Co  0.625  0.125  0.625
Co  0.625  0.625  0.125
Co  0.625  0.625  0.625
Ag  0.250  0.250  0.250

Values from the calculation:
Formation energy, eV per formula unit: 1.3
Symmetry: F-43m, No. 216
Fermi-level density of states, states/eV per atom: 1.125

---

Material: ReSnSCl2
Method: DFT, PBE
State: optimized geometry

Cell lengths 5.010, 5.010, 4.488 Å; angles 90.00, 90.00, 90.00 degrees
Sites, in units of the cell vectors:
Re  0.000  0.000  0.000
Sn  0.500  0.500  0.500
S  0.000  0.000  0.500
Cl  0.000  0.500  0.000
Cl  0.500  0.000  0.000

Values from the calculation:
Offset from the most stable computed form, meV per atom: 0.0
Raw formation energy, eV/atom: 0.176
Symmetry: P4/mmm, No. 123
Fermi-level density of states, states/eV per atom: 1.031

---

Material: Ca5Si2I2
Method: DFT, PBE
State: optimized geometry

Cell lengths 9.009, 9.009, 8.478 Å; angles 90.00, 90.00, 55.93 degrees
Sites, in units of the cell vectors:
Ca  0.000  0.000  0.000
Ca  0.038  0.750  0.643
Ca  0.250  0.538  0.143
Ca  0.250  0.962  0.643
Ca  0.462  0.750  0.143
Ca  0.500  0.500  0.500
Ca  0.538  0.250  0.857
Ca  0.750  0.038  0.357
Ca  0.750  0.462  0.857
Ca  0.962  0.250  0.357
Si  0.160  0.840  0.340
Si  0.340  0.660  0.840
Si  0.660  0.340  0.160
Si  0.840  0.160  0.660
I  0.212  0.212  0.000
I  0.288  0.288  0.500
I  0.712  0.712  0.500
I  0.788  0.788  0.000

Values from the calculation:
Raw formation energy, eV/atom: -0.813
Symmetry: Cmce, No. 64
Fermi-level density of states, states/eV per atom: 0.011

---

Material: Tb2NdZn
Method: DFT, PBE
State: optimized geometry

Cell lengths 4.795, 4.795, 4.806 Å; angles 90.00, 90.00, 90.00 degrees
Sites, in units of the cell vectors:
Tb  0.000  0.500  0.000
Tb  0.500  0.000  0.000
Nd  0.000  0.000  0.500
Zn  0.500  0.500  0.500

Values from the calculation:
Formation energy, eV per formula unit: -0.1
Offset from the most stable computed form, meV per atom: 129.2
Symmetry: P4/mmm, No. 123
Fermi-level density of states, states/eV per atom: 1.365

---

Material: LaSc2PdC
Method: DFT, PBE
State: optimized geometry

Cell lengths 4.422, 4.422, 5.351 Å; angles 90.00, 90.00, 90.00 degrees
Sites, in units of the cell vectors:
La  0.000  0.000  0.000
Sc  0.000  0.500  0.500
Sc  0.500  0.000  0.500
Pd  0.500  0.500  0.000
C  0.000  0.000  0.500

Values from the calculation:
Formation energy, eV per formula unit: -2.3
Symmetry: P4/mmm, No. 123
Fermi-level density of states, states/eV per atom: 0.382

---

Material: Pd
Method: DFT, PBE
State: optimized geometry

Cell lengths 2.616, 2.616, 2.616 Å; angles 90.00, 90.00, 90.00 degrees
Sites, in units of the cell vectors:
Pd  0.000  0.000  0.000

Values from the calculation:
Formation energy, eV per formula unit: 0.5
Offset from the most stable computed form, meV per atom: 507.5
Symmetry: Pm-3m, No. 221
Fermi-level density of states, states/eV per atom: 1.466

---

Material: KLiCo
Method: DFT, PBE
State: optimized geometry

Cell lengths 3.981, 3.984, 12.988 Å; angles 98.12, 90.63, 119.92 degrees
Sites, in units of the cell vectors:
K  0.000  0.000  0.000
K  0.243  0.419  0.680
Li  0.421  0.821  0.249
Li  0.844  0.635  0.492
Co  0.145  0.245  0.402
Co  0.490  0.930  0.433

Values from the calculation:
Formation energy, eV per formula unit: 1.2
Offset from the most stable computed form, meV per atom: 34.4
Symmetry: P1, No. 1
Fermi-level density of states, states/eV per atom: 0.851

---

Material: K2CrSe
Method: DFT, PBE
State: optimized geometry

Cell lengths 4.998, 4.998, 4.792 Å; angles 90.00, 90.00, 90.00 degrees
Sites, in units of the cell vectors:
K  0.000  0.500  0.000
K  0.500  0.000  0.000
Cr  0.000  0.000  0.500
Se  0.500  0.500  0.500

Values from the calculation:
Raw formation energy, eV/atom: 0.113
Symmetry: P4/mmm, No. 123
Fermi-level density of states, states/eV per atom: 0.495

---

Material: Pm7Ho2Tm2
Method: DFT, PBE
State: optimized geometry

Cell lengths 10.879, 10.879, 10.879 Å; angles 161.03, 67.28, 116.13 degrees
Sites, in units of the cell vectors:
Pm  0.000  0.000  0.000
Pm  0.123  0.784  0.338
Pm  0.426  0.545  0.881
Pm  0.446  0.784  0.662
Pm  0.634  0.304  0.330
Pm  0.665  0.545  0.119
Pm  0.974  0.304  0.670
Ho  0.310  0.310  0.000
Ho  0.723  0.223  0.500
Tm  0.260  0.047  0.214
Tm  0.833  0.047  0.786

Values from the calculation:
Formation energy, eV per formula unit: 1.9
Offset from the most stable computed form, meV per atom: 61.4
Symmetry: Imm2, No. 44
Fermi-level density of states, states/eV per atom: 1.394